Record 1
The following is a DFT calculation (GGA-PBE) of AcMg2Al6 after structural relaxation.

## Properties
Calculated total energy (eV per atom): -3.3299
Distance to the lowest polymorph of the same formula (meV/atom): 32
Theoretical density (g/cm3): 3.67
Volume (Å³/cell): 198
Spin magnetization (μB/f.u.): 0.00

a b c (Å): 8.1484 8.1484 3.4471
angles (deg): 90.00 90.00 120.00
With the nearest neighbours (Å) after each atom.
Space group P6/mmm (No. 191)
Asymmetric unit:
Ac (0.0000, 0.0000, 0.0000) [1 per cell]  12 Al 3.28, 2 Ac 3.45
Mg (0.3333, 0.6667, 0.0000) [2 per cell]  12 Al 3.19, 2 Mg 3.45
Al (0.0000, 0.3423, 0.5000) [6 per cell]  3 Al 2.57-2.79

=====

Record 2
The following is a DFT calculation (GGA-PBE) of NdPu2Se3 after structural relaxation.

## Properties
Calculated total energy (eV per atom): -8.9575
Formation energy from raw total energies (eV per formula unit): -9.86
Theoretical density (g/cm3): 9.35
Volume (Å³/cell): 309
Spin magnetization (μB/f.u.): 11.52

a b c (Å): 4.1785 5.9032 12.5148
angles (deg): 90.00 90.00 90.00
With the nearest neighbours (Å) after each atom.
Space group Immm (No. 71)
Asymmetric unit:
Nd (0.0000, 0.0000, 0.0000) [2 per cell]  6 Se 2.95-3.00
Pu (0.0000, 0.0000, 0.3349) [4 per cell]  6 Se 2.92-2.95
Se (0.0000, 0.5000, 0.0000) [2 per cell]  4 Pu 2.94, 2 Nd 2.95
Se (0.0000, 0.5000, 0.3283) [4 per cell]  4 Pu 2.92-2.95, 2 Nd 3.00

=====

Record 3
The following is a DFT calculation (GGA-PBE) of Si2HgW after structural relaxation.

## Properties
Calculated total energy (eV per atom): -5.0830
Formation energy from raw total energies (eV per formula unit): 3.77
Theoretical density (g/cm3): 7.50
Volume (Å³/cell): 390
Spin magnetization (μB/f.u.): 0.00

a b c (Å): 6.0228 6.0228 10.7621
angles (deg): 90.00 90.00 90.00
With the nearest neighbours (Å) after each atom.
Space group I-42d (No. 122)
Asymmetric unit:
Si (0.2163, 0.2500, 0.1250) [8 per cell]  2 W 2.40, 2 Hg 2.65
Hg (0.0000, 0.0000, 0.5000) [4 per cell]  4 Si 2.65
W (0.0000, 0.0000, 0.0000) [4 per cell]  4 Si 2.40

=====

Record 4
The following is a DFT calculation (GGA-PBE) of Cr2FeTc after structural relaxation.

## Properties
Calculated total energy (eV per atom): -9.3081
Distance to the lowest polymorph of the same formula (meV/atom): 112
Theoretical density (g/cm3): 8.76
Volume (Å³/cell): 49
Spin magnetization (μB/f.u.): 0.41

a b c (Å): 2.5819 3.6435 5.1961
angles (deg): 90.00 90.00 90.00
With the nearest neighbours (Å) after each atom.
Space group Pmm2 (No. 25)
Asymmetric unit:
Cr (0.0000, 0.0000, 0.0000) [1 per cell]  2 Fe 2.47-2.73, 6 Cr 2.57-2.58, 4 Tc 2.61
Cr (0.5000, 0.5000, 0.2465) [1 per cell]  4 Fe 2.53, 2 Tc 2.56-2.64, 6 Cr 2.57-2.58
Fe (0.0000, 0.0000, 0.4753) [1 per cell]  6 Cr 2.47-2.73, 2 Fe 2.58, 4 Tc 2.62
Tc (0.5000, 0.5000, 0.7389) [1 per cell]  6 Cr 2.56-2.64, 2 Tc 2.58, 4 Fe 2.62

=====

Record 5
The following is a DFT calculation (GGA-PBE) of TaAuO2 after structural relaxation.

## Properties
Calculated total energy (eV per atom): -6.6803
Distance to the lowest polymorph of the same formula (meV/atom): 1143
Formation energy from raw total energies (eV per formula unit): -1.67
Theoretical density (g/cm3): 11.66
Volume (Å³/cell): 175
Spin magnetization (μB/f.u.): 0.00

a b c (Å): 3.0605 3.0605 21.5960
angles (deg): 90.00 90.00 120.00
With the nearest neighbours (Å) after each atom.
Space group R-3m (No. 166, hexagonal axes)
Asymmetric unit:
Ta (0.0000, 0.0000, 0.0000) [3 per cell]  2 O 1.87
Au (0.0000, 0.0000, 0.5000) [3 per cell]  6 O 2.47
O (0.0000, 0.0000, 0.0867) [6 per cell]  1 Ta 1.87

=====

Record 6
The following is a DFT calculation (GGA-PBE) of ZnTc after structural relaxation.

## Properties
Calculated total energy (eV per atom): -5.7702
Distance to the lowest polymorph of the same formula (meV/atom): 90
Theoretical density (g/cm3): 9.54
Volume (Å³/cell): 114
Spin magnetization (μB/f.u.): 0.00

a b c (Å): 4.6170 4.4404 5.5504
angles (deg): 90.00 90.00 90.00
With the nearest neighbours (Å) after each atom.
Space group Pnma (No. 62)
Asymmetric unit:
Zn (0.0744, 0.2500, 0.1258) [4 per cell]  8 Tc 2.62-2.80, 4 Zn 2.69-2.71
Tc (0.0559, 0.2500, 0.6226) [4 per cell]  8 Zn 2.62-2.80, 4 Tc 2.65-2.71

=====

Record 7
The following is a DFT calculation (GGA-PBE) of BaCuSb2 after structural relaxation.

## Properties
Calculated total energy (eV per atom): -3.7067
Formation energy from raw total energies (eV per formula unit): -0.56
Theoretical density (g/cm3): 6.09
Volume (Å³/cell): 242
Spin magnetization (μB/f.u.): 0.00

a b c (Å): 4.1552 5.7876 10.0829
angles (deg): 90.00 90.00 90.00
With the nearest neighbours (Å) after each atom.
Space group Imm2 (No. 44)
Asymmetric unit:
Ba (0.0000, 0.0000, 0.0000) [2 per cell]  4 Cu 3.46-3.76, 8 Sb 3.57-3.60
Cu (0.0000, 0.5000, 0.8110) [2 per cell]  2 Sb 2.71
Sb (0.0000, 0.0000, 0.4844) [2 per cell]  2 Cu 2.71
Sb (0.0000, 0.5000, 0.2083) [2 per cell]  2 Sb 3.07

=====

Record 8
The following is a DFT calculation (GGA-PBE) of Dy2Bi5O12 after structural relaxation.

## Properties
Calculated total energy (eV per atom): -6.2891
Formation energy from raw total energies (eV per formula unit): -31.38
Theoretical density (g/cm3): 8.69
Volume (Å³/cell): 597
Spin magnetization (μB/f.u.): 0.00

a b c (Å): 12.5404 6.7946 7.2825
angles (deg): 90.00 105.78 90.00
With the nearest neighbours (Å) after each atom.
Space group C2/m (No. 12)
Asymmetric unit:
Dy (0.0000, 0.2440, 0.0000) [4 per cell]  6 O 2.24-2.28
Bi (0.0000, 0.0000, 0.5000) [2 per cell]  6 O 2.17-2.21
Bi (0.1965, 0.5000, 0.8617) [4 per cell]  3 O 2.22-2.29
Bi (0.2032, 0.5000, 0.3686) [4 per cell]  4 O 2.27-2.35
O (0.0135, 0.5000, 0.8046) [4 per cell]  1 Bi 2.22, 2 Dy 2.28
O (0.0219, 0.0000, 0.8064) [4 per cell]  1 Bi 2.17, 2 Dy 2.24
O (0.1404, 0.2051, 0.5347) [8 per cell]  2 Bi 2.21-2.35
O (0.1838, 0.3028, 0.1096) [8 per cell]  1 Dy 2.26, 3 Bi 2.27-2.52

=====

Record 9
The following is a DFT calculation (GGA-PBE) of CsAc3Os after structural relaxation.

## Properties
Calculated total energy (eV per atom): -4.7387
Theoretical density (g/cm3): 7.51
Volume (Å³/cell): 222
Spin magnetization (μB/f.u.): 0.00

a b c (Å): 6.0546 6.0546 6.0546
angles (deg): 90.00 90.00 90.00
With the nearest neighbours (Å) after each atom.
Space group Pm-3m (No. 221)
Asymmetric unit:
Cs (0.0000, 0.0000, 0.0000) [1 per cell]  12 Ac 4.28
Ac (0.0000, 0.5000, 0.5000) [3 per cell]  2 Os 3.03
Os (0.5000, 0.5000, 0.5000) [1 per cell]  6 Ac 3.03

=====

Record 10
The following is a DFT calculation (GGA-PBE) of Th4SiGe2As after structural relaxation.

## Properties
Calculated total energy (eV per atom): -7.0322
Formation energy from raw total energies (eV per formula unit): -7.27
Theoretical density (g/cm3): 8.78
Volume (Å³/cell): 223
Spin magnetization (μB/f.u.): 0.00

a b c (Å): 7.4110 4.2942 7.4217
angles (deg): 90.00 109.53 90.00
With the nearest neighbours (Å) after each atom.
Space group P2/m (No. 10)
Asymmetric unit:
Th (0.2487, 0.0000, 0.2472) [2 per cell]  2 Si 3.02, 3 Ge 3.02-3.04, 1 As 3.04
Th (0.2509, 0.5000, 0.7530) [2 per cell]  1 Si 3.02, 3 Ge 3.02-3.04, 2 As 3.04
Si (0.0000, 0.5000, 0.0000) [1 per cell]  6 Th 3.02
Ge (0.5000, 0.0000, 0.0000) [1 per cell]  6 Th 3.02
Ge (0.5000, 0.5000, 0.5000) [1 per cell]  6 Th 3.04
As (0.0000, 0.0000, 0.5000) [1 per cell]  6 Th 3.04

=====

Record 11
The following is a DFT calculation (GGA-PBE) of Cr5Ni4 after structural relaxation.

## Properties
Calculated total energy (eV per atom): -7.8323
Distance to the lowest polymorph of the same formula (meV/atom): 0
Theoretical density (g/cm3): 8.14
Volume (Å³/cell): 202
Spin magnetization (μB/f.u.): 0.00

a b c (Å): 7.6596 7.6596 3.4409
angles (deg): 90.00 90.00 90.00
With the nearest neighbours (Å) after each atom.
Space group I4/mmm (No. 139)
Asymmetric unit:
Cr (0.0000, 0.0000, 0.0000) [2 per cell]  8 Cr 2.54, 4 Ni 2.57
Cr (0.1720, 0.1720, 0.5000) [8 per cell]  6 Cr 2.41-2.63, 6 Ni 2.50-2.51
Ni (0.0000, 0.3352, 0.0000) [8 per cell]  5 Ni 2.48-2.52, 7 Cr 2.50-2.57